The following is a DFT calculation (PBE-GGA) of crystalline Ce4PbAu at its relaxed geometry.

Lattice parameters (Å, degrees): 7.907 7.907 5.802 102.34 102.34 110.35
Fractional positions:
Ce: 0.071 0.685 0.837
Ce: 0.180 0.396 0.630
Ce: 0.315 0.929 0.663
Ce: 0.396 0.180 0.130
Ce: 0.604 0.820 0.870
Ce: 0.685 0.071 0.337
Ce: 0.820 0.604 0.370
Ce: 0.929 0.315 0.163
Pb: 0.384 0.616 0.250
Pb: 0.616 0.384 0.750
Au: 0.030 0.970 0.250
Au: 0.970 0.030 0.750

E_tot: -5.452 eV per atom
E_form: -0.332 eV per atom